1.
NdIn3Pt3: relaxed, PBE-GGA.

a b c (Å): 7.3143 7.3143 7.3143
angles (deg): 90.00 90.00 90.00
With the nearest neighbours (Å) after each atom.
Space group Pm-3n (No. 223)
Symmetry-distinct sites (fractional):
Nd 0.0000 0.0000 0.0000 (multiplicity 2)  12 In 4.09, 12 Pt 4.09
In 0.0000 0.2500 0.5000 (multiplicity 6)  4 Pt 2.59
Pt 0.0000 0.5000 0.2500 (multiplicity 6)  4 In 2.59

Calculated values
Its energy above the most stable polymorph in this dataset is 474 meV/atom. The density of states at the Fermi level comes out at 11.01 states/eV/cell. Its energy of formation from the pure elements is -94 meV per atom.



2.
La4NiIr: relaxed, PBE-GGA.

a b c (Å): 8.6267 8.6267 8.6267
angles (deg): 90.00 90.00 90.00
With the nearest neighbours (Å) after each atom.
Space group F-43m (No. 216)
Symmetry-distinct sites (fractional):
La 0.1244 0.1244 0.3756 (multiplicity 16)  6 La 3.04-3.06
Ni 0.0000 0.0000 0.0000 (multiplicity 4)  12 La 3.58, 4 Ir 3.74
Ir 0.2500 0.2500 0.7500 (multiplicity 4)  12 La 3.57, 4 Ni 3.74

Calculated values
Its energy above the most stable polymorph in this dataset is 1162 meV/atom. The density of states at the Fermi level comes out at 36.53 states/eV/cell. Its energy of formation from the pure elements is 761 meV per atom.



3.
TbDyCdNi: relaxed, PBE-GGA.

a b c (Å): 3.4570 3.4570 7.6456
angles (deg): 90.00 90.00 90.00
With the nearest neighbours (Å) after each atom.
Space group P4mm (No. 99)
Symmetry-distinct sites (fractional):
Tb 0.0000 0.0000 0.0000 (multiplicity 1)  4 Ni 2.95, 1 Dy 3.24
Dy 0.0000 0.0000 0.5762 (multiplicity 1)  4 Ni 2.92, 1 Tb 3.24
Cd 0.5000 0.5000 0.2899 (multiplicity 1)  4 Dy 3.28, 4 Tb 3.30, 4 Cd 3.46
Ni 0.5000 0.5000 0.7851 (multiplicity 1)  4 Dy 2.92, 4 Tb 2.95

Calculated values
Its energy above the most stable polymorph in this dataset is 0 meV/atom. The density of states at the Fermi level comes out at 2.35 states/eV/cell. Its energy of formation from the pure elements is -363 meV per atom.



4.
ScTcPb2: relaxed, PBE-GGA.

a b c (Å): 4.2713 4.2713 9.6419
angles (deg): 90.00 90.00 90.00
With the nearest neighbours (Å) after each atom.
Space group I-4m2 (No. 119)
Symmetry-distinct sites (fractional):
Sc 0.0000 0.0000 0.0000 (multiplicity 2)  8 Pb 3.02-3.22, 4 Tc 3.22
Tc 0.0000 0.5000 0.7500 (multiplicity 2)  8 Pb 3.02-3.22, 4 Sc 3.22
Pb 0.0000 0.0000 0.5000 (multiplicity 2)  4 Sc 3.02, 4 Pb 3.22, 4 Tc 3.22
Pb 0.0000 0.5000 0.2500 (multiplicity 2)  4 Tc 3.02, 4 Pb 3.22, 4 Sc 3.22

Calculated values
Its energy above the most stable polymorph in this dataset is 195 meV/atom. The density of states at the Fermi level comes out at 7.23 states/eV/cell. Its energy of formation from the pure elements is 270 meV per atom.



5.
Ta3CrPb: relaxed, PBE-GGA.

a b c (Å): 5.0580 5.0580 5.0580
angles (deg): 90.00 90.00 90.00
With the nearest neighbours (Å) after each atom.
Space group Pm-3m (No. 221)
Symmetry-distinct sites (fractional):
Ta 0.0000 0.0000 0.5000 (multiplicity 3)  2 Pb 2.53
Cr 0.5000 0.5000 0.5000 (multiplicity 1)  12 Ta 3.58
Pb 0.0000 0.0000 0.0000 (multiplicity 1)  6 Ta 2.53

Calculated values
Its energy above the most stable polymorph in this dataset is 1989 meV/atom. The density of states at the Fermi level comes out at 8.25 states/eV/cell. Its energy of formation from the pure elements is 2885 meV per atom.



6.
KScC: relaxed, PBE-GGA.

a b c (Å): 3.5223 4.1102 13.2833
angles (deg): 93.18 90.63 115.29
With the nearest neighbours (Å) after each atom.
Space group P-1 (No. 2)
Symmetry-distinct sites (fractional):
K 0.1244 0.2365 0.3386 (multiplicity 2)  2 K 3.52
Sc 0.3671 0.7274 0.0787 (multiplicity 2)  3 C 2.15-2.31
C 0.0838 0.1653 0.0280 (multiplicity 2)  1 C 1.39

Calculated values
Its energy above the most stable polymorph in this dataset is 0 meV/atom. The density of states at the Fermi level comes out at 3.56 states/eV/cell. Its energy of formation from the pure elements is -39 meV per atom.



Among the records above, which one has the lowest energy of formation from the pure elements? TbDyCdNi



Which of these has the lowest energy of formation from the pure elements? TbDyCdNi



Repeat the third record exactly.
TbDyCdNi: relaxed, PBE-GGA.

a b c (Å): 3.4570 3.4570 7.6456
angles (deg): 90.00 90.00 90.00
With the nearest neighbours (Å) after each atom.
Space group P4mm (No. 99)
Symmetry-distinct sites (fractional):
Tb 0.0000 0.0000 0.0000 (multiplicity 1)  4 Ni 2.95, 1 Dy 3.24
Dy 0.0000 0.0000 0.5762 (multiplicity 1)  4 Ni 2.92, 1 Tb 3.24
Cd 0.5000 0.5000 0.2899 (multiplicity 1)  4 Dy 3.28, 4 Tb 3.30, 4 Cd 3.46
Ni 0.5000 0.5000 0.7851 (multiplicity 1)  4 Dy 2.92, 4 Tb 2.95

Calculated values
Its energy above the most stable polymorph in this dataset is 0 meV/atom. The density of states at the Fermi level comes out at 2.35 states/eV/cell. Its energy of formation from the pure elements is -363 meV per atom.